## KV2CdO6 (PBE with a Hubbard U)

Data for an optimized crystal structure of KV2CdO6.

Volume (A^3/atom): 18.1
Total DFT energy (no corrections) (eV/atom): -6.401

The structure in CIF format:
```
data_KV2CdO6
_chemical_formula_sum 'K4 V8 Cd4 O24'
_space_group_name_H-M_alt 'C 1 2/c 1'
_space_group_IT_number 15
_cell_length_a 11.102
_cell_length_b 11.428
_cell_length_c 6.101
_cell_angle_alpha 90.00
_cell_angle_beta 110.40
_cell_angle_gamma 90.00
loop_
_space_group_symop_operation_xyz
'x,y,z'
'-x,-y,-z'
'-x,y,-z+1/2'
'x,-y,z+1/2'
'x+1/2,y+1/2,z'
'-x+1/2,-y+1/2,-z'
'-x+1/2,y+1/2,-z+1/2'
'x+1/2,-y+1/2,z+1/2'
loop_
_atom_site_label
_atom_site_fract_x
_atom_site_fract_y
_atom_site_fract_z
K1 0.000 0.104 0.250
V1 0.201 0.419 0.189
Cd1 0.000 0.247 0.750
O1 0.107 0.293 0.104
O2 0.136 0.107 0.709
O3 0.166 0.491 0.428
```